one | RuPt2Br | Alexandria via LeMat-Bulk | PBE | optimized geometry; density of states at the Fermi level = 1.172 states/eV/atom
1.0
1.4540 0.8395 9.2230
-1.4540 0.8395 9.2230
0.0000 -1.6790 9.2230
Ru Pt Br
1 2 1
Direct
0.0000 0.0000 0.0000 Ru
0.4913 0.4913 0.4913 Pt
0.7424 0.7424 0.7424 Pt
0.2610 0.2610 0.2610 Br


two | RuPt2Br | Alexandria via LeMat-Bulk | PBE | optimized geometry; density of states at the Fermi level = 1.407 states/eV/atom
1.0
2.7319 -4.2334 0.0000
2.7319 4.2334 0.0000
0.0000 0.0000 2.8392
Ru Pt Br
1 2 1
Direct
0.0000 0.0000 0.0000 Ru
0.0000 0.5000 0.5000 Pt
0.5000 0.0000 0.5000 Pt
0.5000 0.5000 0.0000 Br


Top of the stability list: one, leading by 314 meV/atom.


one | RuPt2Br | Alexandria via LeMat-Bulk | PBE | optimized geometry; density of states at the Fermi level = 1.331 states/eV/atom
1.0
2.9435 0.0000 0.0000
0.0000 3.5292 0.0000
0.0000 0.0000 6.9593
Ru Pt Br
1 2 1
Direct
0.0000 0.0000 0.0000 Ru
0.0000 0.0000 0.4014 Pt
0.5000 0.5000 0.1877 Pt
0.0000 0.5000 0.7271 Br


two | RuPt2Br | Alexandria via LeMat-Bulk | PBE | optimized geometry; density of states at the Fermi level = 1.519 states/eV/atom
1.0
1.3805 -2.4334 0.0000
1.3805 2.4334 0.0000
0.0000 0.0000 10.7825
Ru Pt Br
1 2 1
Direct
0.0000 0.0000 0.0000 Ru
0.5000 0.5000 0.2125 Pt
0.5000 0.5000 0.7875 Pt
0.0000 0.0000 0.5000 Br


Top of the stability list: one, leading by 162 meV/atom.


one | RuPt2Br | Alexandria via LeMat-Bulk | PBE | optimized geometry; density of states at the Fermi level = 1.634 states/eV/atom
1.0
3.8804 0.0000 0.0000
0.0000 3.8804 0.0000
0.0000 0.0000 4.3958
Ru Pt Br
1 2 1
Direct
0.0000 0.0000 0.0000 Ru
0.0000 0.5000 0.5000 Pt
0.5000 0.0000 0.5000 Pt
0.5000 0.5000 0.0000 Br


two | RuPt2Br | Alexandria via LeMat-Bulk | PBE | optimized geometry; density of states at the Fermi level = 1.488 states/eV/atom
1.0
-1.9990 1.9990 4.1829
1.9990 -1.9990 4.1829
1.9990 1.9990 -4.1829
Ru Pt Br
1 2 1
Direct
0.0000 0.0000 0.0000 Ru
0.2500 0.7500 0.5000 Pt
0.7500 0.2500 0.5000 Pt
0.5000 0.5000 0.0000 Br


three | RuPt2Br | Alexandria via LeMat-Bulk | PBE | optimized geometry; density of states at the Fermi level = 1.264 states/eV/atom
1.0
1.4013 0.8090 10.4658
-1.4013 0.8090 10.4658
0.0000 -1.6181 10.4658
Ru Pt Br
1 2 1
Direct
0.0000 0.0000 0.0000 Ru
0.2637 0.2637 0.2637 Pt
0.7363 0.7363 0.7363 Pt
0.5000 0.5000 0.5000 Br


four | RuPt2Br | Alexandria via LeMat-Bulk | PBE | optimized geometry; density of states at the Fermi level = 1.517 states/eV/atom
1.0
-3.3187 3.3187 3.8911
3.3187 -3.3187 3.8911
3.3187 3.3187 -3.8911
Ru Pt Br
2 4 2
Direct
0.0000 0.0000 0.0000 Ru
0.7500 0.2500 0.5000 Ru
0.1004 0.6250 0.9754 Pt
0.3750 0.3504 0.4754 Pt
0.6496 0.1250 0.0246 Pt
0.8750 0.8996 0.5246 Pt
0.2500 0.7500 0.5000 Br
0.5000 0.5000 0.0000 Br


Top of the stability list: three, leading by 395 meV/atom.


one | PtSeSBr2 | Alexandria via LeMat-Bulk | PBE | optimized geometry; density of states at the Fermi level = 0.904 states/eV/atom
1.0
4.7464 0.0000 0.0000
0.0000 4.7464 0.0000
0.0000 0.0000 5.4572
Pt Se S Br
1 1 1 2
Direct
0.0000 0.0000 0.0000 Pt
0.5000 0.5000 0.0000 Se
0.5000 0.5000 0.5000 S
0.0000 0.5000 0.5000 Br
0.5000 0.0000 0.5000 Br


two | PtSeSBr2 | Alexandria via LeMat-Bulk | PBE | optimized geometry; density of states at the Fermi level = 0.856 states/eV/atom
1.0
5.2314 0.0000 0.0000
0.0000 5.2314 0.0000
0.0000 0.0000 4.8531
Pt Se S Br
1 1 1 2
Direct
0.0000 0.0000 0.0000 Pt
0.0000 0.0000 0.5000 Se
0.5000 0.5000 0.5000 S
0.0000 0.5000 0.0000 Br
0.5000 0.0000 0.0000 Br


Top of the stability list: two, leading by 372 meV/atom.


one | PtSe2SBr | Alexandria via LeMat-Bulk | PBE | optimized geometry; density of states at the Fermi level = 1.168 states/eV/atom
1.0
4.9172 0.0000 0.0000
0.0000 4.9172 0.0000
0.0000 0.0000 4.7177
Pt Se S Br
1 2 1 1
Direct
0.0000 0.0000 0.0000 Pt
0.0000 0.5000 0.5000 Se
0.5000 0.0000 0.5000 Se
0.5000 0.5000 0.5000 S
0.5000 0.5000 0.0000 Br


two | PtSe2SBr | Alexandria via LeMat-Bulk | PBE | optimized geometry; density of states at the Fermi level = 1.264 states/eV/atom
1.0
4.9500 0.0000 0.0000
0.0000 4.9500 0.0000
0.0000 0.0000 5.0643
Pt Se S Br
1 2 1 1
Direct
0.0000 0.0000 0.0000 Pt
0.0000 0.5000 0.0000 Se
0.5000 0.0000 0.0000 Se
0.5000 0.5000 0.5000 S
0.0000 0.0000 0.5000 Br


Top of the stability list: two, leading by 289 meV/atom.


one | SbPtBr | Alexandria via LeMat-Bulk | PBE | optimized geometry; density of states at the Fermi level = 0.469 states/eV/atom
1.0
7.1598 0.0000 0.0000
0.0000 5.5858 0.0000
-0.1003 0.0000 7.5830
Sb Pt Br
4 4 4
Direct
0.0626 0.2210 0.0915 Sb
0.0626 0.2790 0.5915 Sb
0.9374 0.7210 0.4085 Sb
0.9374 0.7790 0.9085 Sb
0.2339 0.0067 0.3581 Pt
0.2339 0.4933 0.8581 Pt
0.7661 0.5067 0.1419 Pt
0.7661 0.9933 0.6419 Pt
0.4129 0.7265 0.1251 Br
0.4129 0.7735 0.6251 Br
0.5871 0.2265 0.3749 Br
0.5871 0.2735 0.8749 Br


two | SbPtBr | Alexandria via LeMat-Bulk | PBE | optimized geometry; density of states at the Fermi level = 0.305 states/eV/atom
1.0
0.0000 2.8795 6.3080
2.0535 0.0000 6.3080
2.0535 2.8795 0.0000
Sb Pt Br
1 1 1
Direct
0.0000 0.0000 0.0000 Sb
0.3750 0.3750 0.6250 Pt
0.7324 0.7324 0.2676 Br


three | SbPtBr | Alexandria via LeMat-Bulk | PBE | optimized geometry; density of states at the Fermi level = 0.535 states/eV/atom
1.0
2.7364 -9.5894 0.0000
2.7364 9.5894 0.0000
-1.4064 0.0000 3.4950
Sb Pt Br
2 2 2
Direct
0.1740 0.8260 0.7500 Sb
0.8260 0.1740 0.2500 Sb
0.2705 0.7296 0.2500 Pt
0.7296 0.2705 0.7500 Pt
0.4076 0.5924 0.2500 Br
0.5924 0.4076 0.7500 Br


four | SbPtBr | Alexandria via LeMat-Bulk | PBE | optimized geometry; density of states at the Fermi level = 0.272 states/eV/atom
1.0
0.0000 3.3359 3.3359
3.3359 0.0000 3.3359
3.3359 3.3359 0.0000
Sb Pt Br
1 1 1
Direct
0.0000 0.0000 0.0000 Sb
0.7500 0.7500 0.7500 Pt
0.5000 0.5000 0.5000 Br


Top of the stability list: one, leading by 57 meV/atom.


one | SbPtBr | Alexandria via LeMat-Bulk | PBE | optimized geometry; density of states at the Fermi level = 0.138 states/eV/atom
1.0
-1.7111 1.7111 6.0847
1.7111 -1.7111 6.0847
1.7111 1.7111 -6.0847
Sb Pt Br
1 1 1
Direct
0.0000 0.0000 0.0000 Sb
0.6126 0.6126 0.0000 Pt
0.2674 0.2674 0.0000 Br


two | Computed, not measured: a relaxed SbPtBr crystal at the PBE level of DFT.

```
SbPtBr
1.0
3.8298 0.0000 0.0000
-1.9149 3.3167 0.0000
0.0000 0.0000 6.8557
Sb Pt Br
1 1 1
Direct
0.0000 0.0000 0.0000 Sb
0.3333 0.6667 0.7877 Pt
0.6667 0.3333 0.5509 Br
```


Top of the stability list: two, leading by 286 meV/atom.


one | SbTe2PtBr | Alexandria via LeMat-Bulk | PBE | optimized geometry; density of states at the Fermi level = 1.478 states/eV/atom
1.0
5.3448 0.0000 0.0000
0.0000 5.3448 0.0000
0.0000 0.0000 5.3760
Sb Te Pt Br
1 2 1 1
Direct
0.0000 0.0000 0.0000 Sb
0.0000 0.5000 0.5000 Te
0.5000 0.0000 0.5000 Te
0.0000 0.0000 0.5000 Pt
0.5000 0.5000 0.0000 Br


two | SbTe2PtBr | Alexandria via LeMat-Bulk | PBE | optimized geometry; density of states at the Fermi level = 1.705 states/eV/atom
1.0
5.4673 0.0000 0.0000
0.0000 5.4673 0.0000
0.0000 0.0000 5.4531
Sb Te Pt Br
1 2 1 1
Direct
0.0000 0.0000 0.0000 Sb
0.0000 0.5000 0.5000 Te
0.5000 0.0000 0.5000 Te
0.5000 0.5000 0.0000 Pt
0.0000 0.0000 0.5000 Br


Top of the stability list: one, leading by 1070 meV/atom.


one | ScPtBr2 | Alexandria via LeMat-Bulk | PBE | optimized geometry; density of states at the Fermi level = 1.642 states/eV/atom
1.0
1.9291 1.1138 8.2708
-1.9291 1.1138 8.2708
0.0000 -2.2275 8.2708
Sc Pt Br
1 1 2
Direct
0.0000 0.0000 0.0000 Sc
0.5000 0.5000 0.5000 Pt
0.1036 0.1036 0.1036 Br
0.8964 0.8964 0.8964 Br


two | ScPtBr2 | Alexandria via LeMat-Bulk | PBE | optimized geometry; density of states at the Fermi level = 0.615 states/eV/atom
1.0
1.7385 1.0037 8.6281
-1.7385 1.0037 8.6281
0.0000 -2.0075 8.6281
Sc Pt Br
1 1 2
Direct
0.0000 0.0000 0.0000 Sc
0.5000 0.5000 0.5000 Pt
0.4034 0.4034 0.4034 Br
0.5966 0.5966 0.5966 Br


three | ScPtBr2 | Alexandria via LeMat-Bulk | PBE | optimized geometry; density of states at the Fermi level = 0.671 states/eV/atom
1.0
3.5976 0.0000 0.0000
0.0000 3.5976 0.0000
0.0000 0.0000 7.8497
Sc Pt Br
1 1 2
Direct
0.0000 0.0000 0.0000 Sc
0.5000 0.5000 0.8618 Pt
0.0000 0.0000 0.6641 Br
0.5000 0.5000 0.2312 Br


Top of the stability list: three, leading by 298 meV/atom.


one | ScPtBr2 | Alexandria via LeMat-Bulk | PBE | optimized geometry; density of states at the Fermi level = 0.958 states/eV/atom
1.0
2.0270 1.1703 7.6740
-2.0270 1.1703 7.6740
0.0000 -2.3405 7.6740
Sc Pt Br
1 1 2
Direct
0.0000 0.0000 0.0000 Sc
0.2766 0.2766 0.2766 Pt
0.5542 0.5542 0.5542 Br
0.7378 0.7378 0.7378 Br


two | ScPtBr2 | Alexandria via LeMat-Bulk | PBE | optimized geometry; density of states at the Fermi level = 1.060 states/eV/atom
1.0
3.2353 -3.2785 0.0000
3.2353 3.2785 0.0000
0.0000 0.0000 4.4645
Sc Pt Br
1 1 2
Direct
0.0000 0.0000 0.0000 Sc
0.5000 0.5000 0.0000 Pt
0.2430 0.7570 0.5000 Br
0.7570 0.2430 0.5000 Br


Top of the stability list: one, leading by 544 meV/atom.


one | ScPt3Br | Alexandria via LeMat-Bulk | PBE | optimized geometry; density of states at the Fermi level = 0.072 states/eV/atom
1.0
4.9061 0.0000 0.0000
0.0000 4.9061 0.0000
0.0000 0.0000 4.9061
Sc Pt Br
1 3 1
Direct
0.0000 0.0000 0.0000 Sc
0.0000 0.0000 0.5000 Pt
0.0000 0.5000 0.0000 Pt
0.5000 0.0000 0.0000 Pt
0.5000 0.5000 0.5000 Br


two | ScPt3Br | Alexandria via LeMat-Bulk | PBE | optimized geometry; density of states at the Fermi level = 0.515 states/eV/atom
1.0
4.7630 0.0000 0.0000
0.0000 4.7630 0.0000
0.0000 0.0000 4.7630
Sc Pt Br
1 3 1
Direct
0.0000 0.0000 0.0000 Sc
0.0000 0.5000 0.5000 Pt
0.5000 0.0000 0.5000 Pt
0.5000 0.5000 0.0000 Pt
0.5000 0.5000 0.5000 Br


Top of the stability list: two, leading by 168 meV/atom.